1.
Compound: AcPm5Sb6
Source: Alexandria
Functional: GGA-PBE
Structure: relaxed

Computed properties:
Raw formation energy, eV/f.u.: -14.132
Total magnetization, μB per cell: 0.0
Space-group type: No. 12

Cell: 7.876 7.876 7.876 Å, 99.61 99.61 120.00°
Fractional coordinates of all 12 atoms:
Pm (0.836, 0.164, 0.500)
Pm (0.164, 0.836, 0.500)
Pm (0.668, 0.332, 0.000)
Pm (0.332, 0.668, 0.000)
Pm (0.500, 0.500, 0.500)
Sb (0.742, 0.742, 0.254)
Sb (0.914, 0.572, 0.744)
Sb (0.258, 0.258, 0.746)
Sb (0.572, 0.914, 0.744)
Sb (0.086, 0.428, 0.256)
Sb (0.428, 0.086, 0.256)
Ac (0.000, 0.000, 0.000)

---

2.
Compound: AcPmSb
Source: Alexandria
Functional: GGA-PBE
Structure: relaxed

Computed properties:
Relative energy among the computed polymorphs, meV per atom: 0
Raw formation energy, eV/f.u.: -2.423
Total magnetization, μB per cell: 0.0
Space-group type: No. 129

Cell: 4.757 4.757 9.167 Å, 90.01 90.01 90.00°
Fractional coordinates of all 6 atoms:
Ac (0.314, 0.367, 0.272)
Ac (0.813, 0.866, 0.567)
Pm (0.814, 0.366, 0.920)
Pm (0.314, 0.866, 0.920)
Sb (0.814, 0.867, 0.183)
Sb (0.313, 0.366, 0.657)

---

3.
Compound: Ac5PmSb6
Source: Alexandria
Functional: GGA-PBE
Structure: relaxed

Computed properties:
Raw formation energy, eV/f.u.: -14.405
Total magnetization, μB per cell: 0.0
Space-group type: No. 12

Cell: 8.232 8.232 8.232 Å, 99.60 99.60 119.99°
Fractional coordinates of all 12 atoms:
Sb (0.594, 0.919, 0.756)
Sb (0.758, 0.758, 0.246)
Sb (0.081, 0.406, 0.244)
Sb (0.242, 0.242, 0.754)
Sb (0.919, 0.594, 0.756)
Sb (0.406, 0.081, 0.244)
Ac (0.666, 0.334, 0.000)
Ac (0.334, 0.666, 0.000)
Ac (0.169, 0.831, 0.500)
Ac (0.831, 0.169, 0.500)
Ac (0.500, 0.500, 0.500)
Pm (0.000, 0.000, 0.000)

---

4.
Compound: AcPmSb
Source: Alexandria
Functional: GGA-PBE
Structure: relaxed

Computed properties:
Relative energy among the computed polymorphs, meV per atom: 332
Raw formation energy, eV/f.u.: -1.426
Total magnetization, μB per cell: 0.0
Space-group type: No. 156

Cell: 4.397 5.310 5.310 Å, 120.00 90.00 90.00°
Fractional coordinates of all 3 atoms:
Pm (0.146, 0.000, 0.000)
Ac (0.653, 0.333, 0.667)
Sb (0.201, 0.667, 0.333)

---

5.
Compound: AcPm2Sb
Source: Alexandria
Functional: GGA-PBE
Structure: relaxed

Computed properties:
Relative energy among the computed polymorphs, meV per atom: 82
Raw formation energy, eV/f.u.: -1.700
Total magnetization, μB per cell: 0.1
Space-group type: No. 160

Cell: 4.182 4.182 10.220 Å, 78.19 78.19 60.00°
Fractional coordinates of all 4 atoms:
Pm (0.269, 0.269, 0.193)
Pm (0.064, 0.064, 0.807)
Ac (0.500, 0.500, 0.499)
Sb (0.666, 0.666, 0.001)

---

6.
Compound: AcPm4Sb5
Source: Alexandria
Functional: GGA-PBE
Structure: relaxed

Computed properties:
Raw formation energy, eV/f.u.: -11.742
Total magnetization, μB per cell: 0.0
Space-group type: No. 71

Cell: 4.554 6.454 12.056 Å, 105.53 100.89 90.00°
Fractional coordinates of all 10 atoms:
Ac (0.000, 0.000, 0.000)
Sb (0.606, 0.106, 0.212)
Sb (0.394, 0.894, 0.788)
Sb (0.801, 0.301, 0.602)
Sb (0.199, 0.699, 0.398)
Sb (0.000, 0.500, 0.000)
Pm (0.797, 0.797, 0.594)
Pm (0.399, 0.399, 0.798)
Pm (0.601, 0.601, 0.202)
Pm (0.203, 0.203, 0.406)